(1)
! YBiPdRh (PBE-GGA, optimized geometry); values from VASP
! Space group: F-43m, No. 216
! ΔE_f in meV per atom: -618
&SYSTEM
  ibrav = 0, nat = 4, ntyp = 4
/
ATOMIC_SPECIES
Pd 106.42 Pd.upf
Bi 208.98 Bi.upf
Rh 102.91 Rh.upf
Y 88.91 Y.upf
CELL_PARAMETERS angstrom
-0.0603 3.7183 3.1367
-3.9200 0.7790 2.7740
0.1986 -0.8513 4.7858
ATOMIC_POSITIONS crystal
Pd 0.0000 0.0000 0.0000
Bi 0.2500 0.2500 0.2500
Rh 0.5000 0.5000 0.5000
Y 0.7500 0.7500 0.7500

***

(2)
! DyYPa2P4 (PBE-GGA, optimized geometry); values from VASP
! Space group: P2/m, No. 10
! ΔE_f in meV per atom: -1460
&SYSTEM
  ibrav = 0, nat = 8, ntyp = 4
/
ATOMIC_SPECIES
P 30.97 P.upf
Pa 231.04 Pa.upf
Y 88.91 Y.upf
Dy 162.50 Dy.upf
CELL_PARAMETERS angstrom
3.9848 0.0000 0.0000
0.0000 6.8920 -0.1332
0.0000 2.4287 6.4587
ATOMIC_POSITIONS crystal
P 0.5000 0.7542 0.2488
P 0.5000 0.2458 0.7512
P 0.0000 0.7545 0.7482
P 0.0000 0.2455 0.2518
Pa 0.0000 0.0000 0.0000
Pa 0.5000 0.0000 0.5000
Y 0.5000 0.5000 0.0000
Dy 0.0000 0.5000 0.5000

***

(3)
! GaCo2Ni (PBE-GGA, optimized geometry); values from VASP
! Space group: I-42d, No. 122
! ΔE_f in meV per atom: 213
&SYSTEM
  ibrav = 0, nat = 8, ntyp = 3
/
ATOMIC_SPECIES
Co 58.93 Co.upf
Ga 69.72 Ga.upf
Ni 58.69 Ni.upf
CELL_PARAMETERS angstrom
-2.3311 -1.1789 2.1920
1.9909 -2.6855 0.6730
3.6625 2.5322 7.9096
ATOMIC_POSITIONS crystal
Co 0.8750 0.8776 0.7500
Co 0.1224 0.6250 0.2500
Co 0.3750 0.3724 0.7500
Co 0.6276 0.1250 0.2500
Ga 0.7500 0.2500 0.5000
Ga 0.0000 0.0000 0.0000
Ni 0.5000 0.5000 0.0000
Ni 0.2500 0.7500 0.5000

***

(4)
! PmNdInGa (PBE-GGA, optimized geometry); values from VASP
! Energy above the most stable polymorph in this dataset in eV per atom: 0.000
! Space group: P4mm, No. 99
! ΔE_f in meV per atom: -525
&SYSTEM
  ibrav = 0, nat = 4, ntyp = 4
/
ATOMIC_SPECIES
In 114.82 In.upf
Nd 144.24 Nd.upf
Ga 69.72 Ga.upf
Pm 145.00 Pm.upf
CELL_PARAMETERS angstrom
3.7494 0.0000 0.0000
0.0000 3.7494 0.0000
0.0000 0.0000 7.6639
ATOMIC_POSITIONS crystal
In 0.0000 0.0000 0.8544
Nd 0.5000 0.5000 0.1206
Ga 0.0000 0.0000 0.3598
Pm 0.5000 0.5000 0.5931

***

The following calculated density values (in g/cm³) correspond, in order, to the records above: 10.34 7.78 8.04 7.30.